# 1
Cd4PSe, optimized geometry, DFT PBE-GGA; E_tot = -1.722 eV/atom; raw formation energy = 370 meV per atom; D(E_F) = 2.11 states/eV/f.u.
1.0
0.0000 4.0689 4.0689
4.0689 0.0000 4.0689
4.0689 4.0689 0.0000
Cd Se P
4 1 1
direct
0.8750 0.3750 0.3750
0.3750 0.3750 0.8750
0.3750 0.3750 0.3750
0.3750 0.8750 0.3750
0.0000 0.0000 0.0000
0.7500 0.7500 0.7500



# 2
Cd2PSe, optimized geometry, DFT PBE-GGA; E_tot = -2.477 eV/atom; raw formation energy = 204 meV per atom; D(E_F) = 2.60 states/eV/f.u.
1.0
3.8099 0.0000 0.0000
0.0000 4.0016 0.0000
0.0000 0.0000 5.9364
Cd P Se
2 1 1
direct
0.0000 0.0000 0.0000
0.0000 0.5000 0.5000
0.5000 0.5000 0.0000
0.5000 0.0000 0.5000



# 3
CdP2Se, optimized geometry, DFT PBE-GGA; E_tot = -3.484 eV/atom; raw formation energy = 321 meV per atom; ΔE to the lowest computed polymorph = 0.279 eV per atom; D(E_F) = 1.90 states/eV/f.u.
1.0
-0.7566 5.8619 0.7931
-3.8724 0.1020 4.5340
0.9286 1.0670 2.4162
P Se Cd
2 1 1
direct
0.0000 0.0000 0.0000
0.5000 0.5000 0.0000
0.5000 0.0000 0.5000
0.0000 0.5000 0.5000



# 4
CdP2Se, optimized geometry, DFT PBE-GGA; E_tot = -3.061 eV/atom; raw formation energy = 744 meV per atom; ΔE to the lowest computed polymorph = 0.702 eV per atom; D(E_F) = 4.04 states/eV/f.u.
1.0
-9.8338 -3.8664 2.4304
-8.3431 -6.3472 2.7684
-8.5418 -4.4547 4.9751
Se P Cd
1 2 1
direct
0.2500 0.2500 0.2500
0.0112 0.0112 0.0112
0.4888 0.4888 0.4888
0.7500 0.7500 0.7500



Which value of D(E_F) does entry 4 give?
4.04 states/eV/f.u.